1.
# BeSi4Br PBE optimized geometry
data_BeSi4Br
_space_group_name_H-M_alt 'P 1'
_space_group_IT_number 1
_cell_length_a 5.2092
_cell_length_b 5.2092
_cell_length_c 5.2092
_cell_angle_alpha 60.00
_cell_angle_beta 60.00
_cell_angle_gamma 60.00
loop_
_space_group_symop_operation_xyz
'x,y,z'
loop_
_atom_site_label
_atom_site_type_symbol
_atom_site_fract_x
_atom_site_fract_y
_atom_site_fract_z
Be1 Be 0.2500 0.2500 0.2500
Si1 Si 0.6248 0.6248 0.1255
Si2 Si 0.6248 0.1255 0.6248
Si3 Si 0.6248 0.6248 0.6248
Si4 Si 0.1255 0.6248 0.6248
Br1 Br 0.0000 0.0000 0.0000
# ρ: 3.3 g/cm3
# uncorrected formation energy: 4.7 eV/f.u.
# symmetry: F-43m, No. 216

2.
# PrScPd2 PBE optimized geometry
data_PrScPd2
_space_group_name_H-M_alt 'P 1'
_space_group_IT_number 1
_cell_length_a 4.9525
_cell_length_b 4.9525
_cell_length_c 4.9525
_cell_angle_alpha 60.00
_cell_angle_beta 60.00
_cell_angle_gamma 60.00
loop_
_space_group_symop_operation_xyz
'x,y,z'
loop_
_atom_site_label
_atom_site_type_symbol
_atom_site_fract_x
_atom_site_fract_y
_atom_site_fract_z
Pr1 Pr 0.0000 0.0000 0.0000
Sc1 Sc 0.5000 0.5000 0.5000
Pd1 Pd 0.2500 0.2500 0.2500
Pd2 Pd 0.7500 0.7500 0.7500
# energy above the most stable polymorph in this dataset: 66 meV per atom
# energy of formation: -2.9 eV/f.u.
# ρ: 7.7 g/cm3
# symmetry: Fm-3m, No. 225

3.
# GdDyPt PBE optimized geometry
data_GdDyPt
_space_group_name_H-M_alt 'P 1'
_space_group_IT_number 1
_cell_length_a 4.8851
_cell_length_b 4.8851
_cell_length_c 4.8851
_cell_angle_alpha 60.00
_cell_angle_beta 60.00
_cell_angle_gamma 60.00
loop_
_space_group_symop_operation_xyz
'x,y,z'
loop_
_atom_site_label
_atom_site_type_symbol
_atom_site_fract_x
_atom_site_fract_y
_atom_site_fract_z
Gd1 Gd 0.0000 0.0000 0.0000
Pt1 Pt 0.2500 0.2500 0.2500
Dy1 Dy 0.5000 0.5000 0.5000
# energy above the most stable polymorph in this dataset: 0 meV per atom
# energy of formation: -2.5 eV/f.u.
# ρ: 10.4 g/cm3
# symmetry: F-43m, No. 216

4.
# SrSnBr5 PBE optimized geometry
data_SrSnBr5
_space_group_name_H-M_alt 'P 1'
_space_group_IT_number 1
_cell_length_a 7.5560
_cell_length_b 7.5560
_cell_length_c 11.0566
_cell_angle_alpha 69.91
_cell_angle_beta 69.91
_cell_angle_gamma 71.69
loop_
_space_group_symop_operation_xyz
'x,y,z'
loop_
_atom_site_label
_atom_site_type_symbol
_atom_site_fract_x
_atom_site_fract_y
_atom_site_fract_z
Sr1 Sr 0.5723 0.4277 0.2500
Sr2 Sr 0.4277 0.5723 0.7500
Sn1 Sn 0.0000 0.0000 0.0000
Sn2 Sn 0.0000 0.0000 0.5000
Br1 Br 0.7045 0.8030 0.1092
Br2 Br 0.3401 0.7147 0.4655
Br3 Br 0.8030 0.7045 0.6092
Br4 Br 0.9396 0.0604 0.2500
Br5 Br 0.2853 0.6599 0.0345
Br6 Br 0.7147 0.3401 0.9655
Br7 Br 0.0604 0.9396 0.7500
Br8 Br 0.1970 0.2955 0.3908
Br9 Br 0.6599 0.2853 0.5345
Br10 Br 0.2955 0.1970 0.8908
# ρ: 3.7 g/cm3
# uncorrected formation energy: -8.4 eV/f.u.
# symmetry: C2/c, No. 15

5.
# AlReAs PBE optimized geometry
data_AlReAs
_space_group_name_H-M_alt 'P 1'
_space_group_IT_number 1
_cell_length_a 4.2319
_cell_length_b 4.2319
_cell_length_c 4.2319
_cell_angle_alpha 60.00
_cell_angle_beta 60.00
_cell_angle_gamma 60.00
loop_
_space_group_symop_operation_xyz
'x,y,z'
loop_
_atom_site_label
_atom_site_type_symbol
_atom_site_fract_x
_atom_site_fract_y
_atom_site_fract_z
Re1 Re 0.7500 0.7500 0.7500
As1 As 0.5000 0.5000 0.5000
Al1 Al 0.0000 0.0000 0.0000
# energy above the most stable polymorph in this dataset: 390 meV per atom
# energy of formation: 1.1 eV/f.u.
# ρ: 8.9 g/cm3
# symmetry: F-43m, No. 216

6.
# PaTl2RuO6 PBE optimized geometry
data_PaTl2RuO6
_space_group_name_H-M_alt 'P 1'
_space_group_IT_number 1
_cell_length_a 6.1521
_cell_length_b 6.1521
_cell_length_c 10.6444
_cell_angle_alpha 73.20
_cell_angle_beta 73.20
_cell_angle_gamma 60.00
loop_
_space_group_symop_operation_xyz
'x,y,z'
loop_
_atom_site_label
_atom_site_type_symbol
_atom_site_fract_x
_atom_site_fract_y
_atom_site_fract_z
Pa1 Pa 0.5973 0.5973 0.2080
Pa2 Pa 0.4027 0.4027 0.7920
Tl1 Tl 0.8617 0.8617 0.4149
Tl2 Tl 0.1383 0.1383 0.5851
Tl3 Tl 0.7258 0.7258 0.8227
Tl4 Tl 0.2742 0.2742 0.1773
Ru1 Ru 0.0000 0.0000 0.0000
Ru2 Ru 0.5000 0.5000 0.5000
O1 O 0.8291 0.3992 0.3725
O2 O 0.3992 0.8291 0.3725
O3 O 0.3992 0.3992 0.3725
O4 O 0.1709 0.6008 0.6275
O5 O 0.6008 0.1709 0.6275
O6 O 0.6008 0.6008 0.6275
O7 O 0.7288 0.1909 0.8894
O8 O 0.1909 0.7288 0.8894
O9 O 0.1909 0.1909 0.8894
O10 O 0.2712 0.8091 0.1106
O11 O 0.8091 0.2712 0.1106
O12 O 0.8091 0.8091 0.1106
# ρ: 8.5 g/cm3
# uncorrected formation energy: -17.0 eV/f.u.
# symmetry: R-3m, No. 166

7.
# Ti2Nb6Ir PBE optimized geometry
data_Ti2Nb6Ir
_space_group_name_H-M_alt 'P 1'
_space_group_IT_number 1
_cell_length_a 5.2473
_cell_length_b 5.1446
_cell_length_c 9.8683
_cell_angle_alpha 141.57
_cell_angle_beta 97.21
_cell_angle_gamma 90.09
loop_
_space_group_symop_operation_xyz
'x,y,z'
loop_
_atom_site_label
_atom_site_type_symbol
_atom_site_fract_x
_atom_site_fract_y
_atom_site_fract_z
Ti1 Ti 0.9451 0.1995 0.7997
Ti2 Ti 0.0549 0.8005 0.2003
Nb1 Nb 0.6385 0.2981 0.5326
Nb2 Nb 0.3615 0.7019 0.4674
Nb3 Nb 0.1552 0.4336 0.6213
Nb4 Nb 0.5003 0.2536 0.9997
Nb5 Nb 0.4997 0.7464 0.0003
Nb6 Nb 0.8448 0.5664 0.3787
Ir1 Ir 0.0000 0.0000 0.0000
# energy of formation: -0.2 eV/f.u.
# ρ: 8.7 g/cm3
# symmetry: P-1, No. 2

8.
# NdSmAgAu PBE optimized geometry
data_NdSmAgAu
_space_group_name_H-M_alt 'P 1'
_space_group_IT_number 1
_cell_length_a 5.2493
_cell_length_b 5.2493
_cell_length_c 5.2493
_cell_angle_alpha 60.00
_cell_angle_beta 60.00
_cell_angle_gamma 60.00
loop_
_space_group_symop_operation_xyz
'x,y,z'
loop_
_atom_site_label
_atom_site_type_symbol
_atom_site_fract_x
_atom_site_fract_y
_atom_site_fract_z
Nd1 Nd 0.5000 0.5000 0.5000
Au1 Au 0.7500 0.7500 0.7500
Ag1 Ag 0.2500 0.2500 0.2500
Sm1 Sm 0.0000 0.0000 0.0000
# energy above the most stable polymorph in this dataset: 12 meV per atom
# energy of formation: -2.1 eV/f.u.
# ρ: 9.7 g/cm3
# symmetry: F-43m, No. 216

Number 1: DOS at the Fermi energy 1.8 states/eV/f.u., total magnetic moment 0.0000 μB per atom. Number 2: DOS at the Fermi energy 4.7 states/eV/f.u., total magnetic moment 0.0000 μB per atom. Number 3: DOS at the Fermi energy 2.4 states/eV/f.u., total magnetic moment 2.3764 μB per atom. Number 4: DOS at the Fermi energy 2.5 states/eV/f.u., total magnetic moment 0.0000 μB per atom. Number 5: DOS at the Fermi energy 2.7 states/eV/f.u., total magnetic moment 0.0000 μB per atom. Number 6: DOS at the Fermi energy 0.6 states/eV/f.u., total magnetic moment 0.0005 μB per atom. Number 7: DOS at the Fermi energy 12.1 states/eV/f.u., total magnetic moment 0.0000 μB per atom. Number 8: DOS at the Fermi energy 4.0 states/eV/f.u., total magnetic moment 0.0000 μB per atom.